YBiMo2S (PBE, relaxed); spin magnetization = 1.4 Bohr magnetons per cell; E_form (uncorrected) = 852 kJ/mol of formula units
1.0
5.051 0.000 0.000
0.000 5.051 0.000
0.000 0.000 5.828
Y Bi Mo S
1 1 2 1
Cartesian
0.000 0.000 0.000
0.000 0.000 2.914
0.000 2.526 2.914
2.526 0.000 2.914
2.526 2.526 0.000



Re2GeOs (PBE, relaxed); spin magnetization = 0.0 Bohr magnetons per cell; ΔH_f (0 K) = 1.263 eV/atom
1.0
-2.835 2.835 5.518
2.835 -2.835 5.518
2.835 2.835 -5.518
Re Ge Os
4 2 2
Cartesian
4.253 1.372 -1.379
1.372 1.418 1.379
-1.418 1.464 4.138
1.464 1.418 6.897
2.835 0.000 2.759
0.000 0.000 5.518
0.000 0.000 0.000
0.000 2.835 2.759



NdY5ErTm2 (PBE, relaxed); spin magnetization = 0.0 Bohr magnetons per cell; ΔH_f (0 K) = 0.158 eV/atom
1.0
2.806 -10.100 0.000
2.806 10.100 0.000
0.000 0.000 10.448
Nd Y Er Tm
2 10 2 4
Cartesian
2.806 6.145 5.224
2.806 -6.145 0.000
2.806 9.785 5.155
2.806 4.504 2.087
2.806 4.004 8.470
2.806 2.237 5.116
2.806 0.438 8.123
2.806 -0.438 2.899
2.806 -2.237 10.340
2.806 -4.004 3.246
2.806 -4.504 7.311
2.806 -9.785 10.379
2.806 1.782 0.693
2.806 -1.782 5.917
2.806 7.860 8.145
2.806 7.834 2.060
2.806 -7.834 7.284
2.806 -7.860 2.921



Li3Ta (PBE, relaxed); spin magnetization = 0.0 Bohr magnetons per cell; ΔH_f (0 K) = 0.442 eV/atom; E above lowest polymorph = 22.5 kJ/mol of atoms
1.0
4.789 0.000 0.000
0.000 9.805 0.000
0.000 0.000 5.891
Li Ta
12 4
Cartesian
0.400 2.451 0.815
1.119 5.017 5.262
1.119 9.691 5.262
1.275 0.115 2.317
1.275 4.788 2.317
1.994 7.354 3.760
2.795 2.451 2.130
3.514 5.017 3.574
3.514 9.691 3.574
3.669 0.115 0.628
3.669 4.788 0.628
4.388 7.354 5.075
0.234 2.451 3.959
2.160 7.354 1.014
2.629 2.451 4.876
4.554 7.354 1.931



HfInPd4 (PBE, relaxed); spin magnetization = 0.0 Bohr magnetons per cell; ΔH_f (0 K) = -0.625 eV/atom; E above lowest polymorph = 1.7 kJ/mol of atoms
1.0
2.427 -4.406 0.000
2.427 4.406 0.000
-1.040 0.000 4.744
Hf In Pd
1 1 4
Cartesian
0.000 0.000 0.000
1.907 0.000 2.372
1.907 2.969 2.372
2.427 1.443 0.000
2.427 -1.443 0.000
1.907 -2.969 2.372



Er4US5 (PBE, relaxed); spin magnetization = 2.2 Bohr magnetons per cell; E_form (uncorrected) = -1772 kJ/mol of formula units
1.0
-1.931 1.931 13.655
1.931 -1.931 13.655
1.931 1.931 -13.655
Er U S
4 1 5
Cartesian
0.000 0.000 2.707
0.000 0.000 8.237
0.000 0.000 19.073
0.000 0.000 24.603
0.000 0.000 13.655
0.000 0.000 0.000
0.000 0.000 5.476
0.000 0.000 10.910
0.000 0.000 16.400
0.000 0.000 21.834



DySnAu4 (PBE, relaxed); spin magnetization = 0.0 Bohr magnetons per cell; ΔH_f (0 K) = -0.431 eV/atom; E above lowest polymorph = 5.4 kJ/mol of atoms
1.0
4.622 0.000 0.000
0.000 7.570 0.000
-1.624 0.000 7.186
Dy Sn Au
2 2 8
Cartesian
0.104 1.892 2.417
2.894 5.677 4.769
0.104 5.677 2.153
2.894 1.892 5.033
0.000 0.000 0.000
0.000 3.785 0.000
0.614 0.125 4.836
0.614 3.660 4.836
0.655 5.677 6.871
2.343 1.892 0.315
2.384 3.910 2.350
2.384 7.445 2.350



HoScCu10 (PBE, relaxed); spin magnetization = 0.0 Bohr magnetons per cell; ΔH_f (0 K) = -0.161 eV/atom
1.0
4.101 0.000 0.000
0.000 4.966 0.000
0.000 0.000 8.549
Ho Sc Cu
1 1 10
Cartesian
0.000 0.000 0.000
0.000 2.483 4.274
0.000 0.000 2.896
0.000 0.000 5.653
0.000 2.483 1.482
0.000 2.483 7.067
2.051 0.000 4.274
2.051 1.248 2.162
2.051 1.248 6.386
2.051 2.483 0.000
2.051 3.718 2.162
2.051 3.718 6.386



Sm6InTc2 (PBE, relaxed); spin magnetization = 0.0 Bohr magnetons per cell; ΔH_f (0 K) = -0.121 eV/atom
1.0
-4.872 4.922 5.286
4.872 -4.922 5.286
4.872 4.922 -5.286
Sm In Tc
12 2 4
Cartesian
4.872 2.807 -2.823
2.769 1.885 0.000
6.976 1.885 0.000
2.022 4.922 -1.958
2.851 0.000 3.328
0.000 2.116 2.463
4.872 2.807 2.823
2.022 4.922 1.958
2.851 0.000 7.245
-2.103 3.037 5.286
2.103 3.037 5.286
0.000 2.116 8.110
0.000 0.000 0.000
0.000 0.000 5.286
4.872 0.000 1.195
0.000 3.704 0.000
0.000 6.140 0.000
0.000 4.922 4.092



Na16Sr2Ca (PBE, relaxed); spin magnetization = 0.0 Bohr magnetons per cell; ΔH_f (0 K) = 0.042 eV/atom
1.0
6.043 3.489 5.907
-6.043 3.489 5.907
0.000 -6.978 5.907
Na Sr Ca
16 2 1
Cartesian
-1.803 -3.840 5.907
-4.228 0.359 5.907
0.000 -3.420 2.952
-2.962 1.710 2.952
0.000 0.000 1.924
-2.995 -1.729 8.528
1.803 -3.840 5.907
-2.424 3.482 5.907
0.000 -3.357 9.208
-2.907 1.678 9.208
2.962 1.710 2.952
2.995 -1.729 8.528
0.000 3.459 8.528
4.228 0.359 5.907
2.424 3.482 5.907
2.907 1.678 9.208
0.000 0.000 6.095
0.000 0.000 11.769
0.000 0.000 15.984



Co2PdW (PBE, relaxed); spin magnetization = 0.0 Bohr magnetons per cell; ΔH_f (0 K) = 0.133 eV/atom; E above lowest polymorph = 5.3 kJ/mol of atoms
1.0
0.000 2.956 2.956
2.956 0.000 2.956
2.956 2.956 0.000
Co Pd W
2 1 1
Cartesian
1.478 1.478 1.478
4.433 4.433 4.433
0.000 0.000 0.000
2.956 2.956 2.956



Tl2Pb3F8 (PBE, relaxed); spin magnetization = 0.0 Bohr magnetons per cell; E_form (uncorrected) = -2690 kJ/mol of formula units; E above lowest polymorph = 1.8 kJ/mol of atoms
1.0
6.626 -3.896 0.000
6.626 3.896 0.000
-2.517 0.000 6.044
Tl Pb F
2 3 8
Cartesian
2.388 0.000 0.914
8.348 0.000 5.130
5.368 2.029 3.022
6.626 0.000 0.000
5.368 -2.029 3.022
0.241 0.000 2.583
4.951 1.727 0.600
5.785 1.727 5.444
3.856 0.000 3.545
6.880 0.000 2.499
4.951 -1.727 0.600
5.785 -1.727 5.444
10.494 0.000 3.461



Li7TmHg4 (PBE, relaxed); spin magnetization = 0.0 Bohr magnetons per cell; ΔH_f (0 K) = -0.118 eV/atom
1.0
6.992 -2.510 0.000
6.992 2.510 0.000
-5.098 0.000 6.814
Li Tm Hg
7 1 4
Cartesian
0.000 0.000 0.000
-0.503 0.000 4.470
3.465 0.000 0.822
3.162 0.000 3.925
5.723 0.000 2.888
5.420 0.000 5.992
9.388 0.000 2.344
6.992 0.000 0.000
-3.064 0.000 5.188
1.033 0.000 2.266
7.852 0.000 4.547
11.949 0.000 1.625



Ca2TeHRh (PBE, relaxed); spin magnetization = 0.0 Bohr magnetons per cell; E above lowest polymorph = 13.6 kJ/mol of atoms
1.0
5.456 0.000 0.000
0.000 5.456 0.000
0.000 0.000 3.709
Ca Te H Rh
2 1 1 1
Cartesian
0.000 2.728 0.000
2.728 0.000 0.000
0.000 0.000 1.855
2.728 2.728 1.855
2.728 2.728 0.000



VTcAs2Se (PBE, relaxed); spin magnetization = 3.7 Bohr magnetons per cell; E_form (uncorrected) = 368 kJ/mol of formula units; E above lowest polymorph = 0.0 kJ/mol of atoms
1.0
4.752 0.000 0.000
0.000 4.752 0.000
0.000 0.000 4.709
V Tc As Se
1 1 2 1
Cartesian
0.000 0.000 0.000
2.376 2.376 2.354
0.000 2.376 0.000
2.376 0.000 0.000
0.000 0.000 2.354



HfAl6Ge (PBE, relaxed); spin magnetization = 0.0 Bohr magnetons per cell; ΔH_f (0 K) = 0.092 eV/atom
1.0
3.853 2.224 3.103
-3.853 2.224 3.103
0.000 -4.449 3.103
Hf Al Ge
1 6 1
Cartesian
0.000 0.000 0.000
0.000 -1.642 2.704
-1.422 0.821 2.704
-1.422 -0.821 6.605
1.422 0.821 2.704
1.422 -0.821 6.605
0.000 1.642 6.605
0.000 0.000 4.655



SrGeN3 (PBE, relaxed); spin magnetization = 5.0 Bohr magnetons per cell; E_form (uncorrected) = 1056 kJ/mol of formula units
1.0
4.679 0.000 0.000
0.000 4.679 0.000
0.000 0.000 4.679
Sr Ge N
1 1 3
Cartesian
0.000 0.000 0.000
2.339 2.339 2.339
0.000 0.000 2.339
0.000 2.339 0.000
2.339 0.000 0.000



BaMgAl2 (PBE, relaxed); spin magnetization = 0.0 Bohr magnetons per cell; ΔH_f (0 K) = 0.061 eV/atom
1.0
-2.408 2.810 3.940
2.408 -2.810 3.940
2.408 2.810 -3.940
Ba Mg Al
1 1 2
Cartesian
0.000 0.000 0.000
0.000 2.810 1.657
2.408 0.000 2.217
0.000 0.000 3.649



NpCuSn2 (PBE, relaxed); spin magnetization = 3.6 Bohr magnetons per cell; ΔH_f (0 K) = 0.166 eV/atom; E above lowest polymorph = 13.2 kJ/mol of atoms
1.0
1.592 0.919 9.817
-1.592 0.919 9.817
0.000 -1.838 9.817
Np Cu Sn
1 1 2
Cartesian
0.000 0.000 0.000
0.000 0.000 14.725
0.000 0.000 7.016
0.000 0.000 22.434



CdTeI2N (PBE, relaxed); spin magnetization = 3.1 Bohr magnetons per cell; E_form (uncorrected) = 557 kJ/mol of formula units; E above lowest polymorph = 53.4 kJ/mol of atoms
1.0
5.989 0.000 0.000
0.000 5.989 0.000
0.000 0.000 5.664
Cd Te I N
1 1 2 1
Cartesian
0.000 0.000 0.000
0.000 0.000 2.832
0.000 2.994 0.000
2.994 0.000 0.000
2.994 2.994 2.832